1.
VASP calculation (GGA-PBE) on a relaxed structure of Li5SbS.

Cell: 9.750 6.164 8.177 Å, 90.00 90.00 90.00°
Space group Pnma (No. 62)
Symmetry-distinct sites (fractional):
Li (0.082, 0.015, 0.161) [8 per cell]
Li (0.129, 0.506, 0.551) [8 per cell]
Li (0.191, 0.250, 0.825) [4 per cell]
Sb (0.175, 0.750, 0.867) [4 per cell]
S (0.037, 0.750, 0.357) [4 per cell]

Summary:
As for the magnetization: 0.00 μB/f.u. For the offset from the most stable computed form, the calculation gives 0.40 kcal/mol of atoms. Its formation energy from raw total energies is -6.063 eV/f.u. The value obtained for the raw total energy is -3.41 eV per atom. For the calculated volume, the calculation gives 17.55 Å³/atom.

=====

2.
VASP calculation (GGA-PBE) on a relaxed structure of La3Tb8Mg.

Cell: 8.742 8.742 11.268 Å, 90.00 90.00 90.00°
Space group I-42m (No. 121)
Symmetry-distinct sites (fractional):
La (0.000, 0.000, 0.000) [2 per cell]
La (0.000, 0.500, 0.250) [4 per cell]
Tb (0.125, 0.125, 0.256) [8 per cell]
Tb (0.241, 0.241, 0.511) [8 per cell]
Mg (0.000, 0.000, 0.500) [2 per cell]

Summary:
As for the magnetization: 0.01 μB/f.u. The calculation puts the energy relative to the elements at 548 meV per atom. The value obtained for the raw total energy is -3.90 eV per atom. For the calculated volume, the calculation gives 35.88 Å³/atom.

=====

3.
VASP calculation (GGA-PBE) on a relaxed structure of CoCl.

Cell: 3.7788 3.7788 5.1240 Å, 90.00 90.00 120.00°
Space group P6_3/mmc (No. 194)
Symmetry-distinct sites (fractional):
Co (0.0000, 0.0000, 0.0000) [2 per cell]
Cl (0.3333, 0.6667, 0.2500) [2 per cell]

Summary:
As for the magnetization: 2.00 μB/f.u. Its formation energy from raw total energies is 0.313 eV/f.u. The value obtained for the raw total energy is -4.32 eV per atom. For the calculated volume, the calculation gives 15.84 Å³/atom.

=====

4.
VASP calculation (GGA-PBE) on a relaxed structure of TbBiPd6.

Cell: 4.127 4.127 8.303 Å, 90.00 90.00 90.00°
Space group P4/mmm (No. 123)
Symmetry-distinct sites (fractional):
Tb (0.000, 0.000, 0.000) [1 per cell]
Bi (0.000, 0.000, 0.500) [1 per cell]
Pd (0.000, 0.500, 0.250) [4 per cell]
Pd (0.500, 0.500, 0.000) [1 per cell]
Pd (0.500, 0.500, 0.500) [1 per cell]

Summary:
As for the magnetization: 0.00 μB/f.u. The calculation puts the energy relative to the elements at -559 meV per atom. For the offset from the most stable computed form, the calculation gives 0.00 kcal/mol of atoms. The value obtained for the raw total energy is -5.52 eV per atom. For the calculated volume, the calculation gives 17.67 Å³/atom.

=====

5.
VASP calculation (GGA-PBE) on a relaxed structure of LiScAg2.

Cell: 3.482 3.482 6.185 Å, 90.00 90.00 90.00°
Space group P4mm (No. 99)
Symmetry-distinct sites (fractional):
Li (0.000, 0.000, 0.000) [1 per cell]
Sc (0.500, 0.500, 0.318) [1 per cell]
Ag (0.000, 0.000, 0.557) [1 per cell]
Ag (0.500, 0.500, 0.821) [1 per cell]

Summary:
As for the magnetization: 0.00 μB/f.u. The calculation puts the energy relative to the elements at -109 meV per atom. The value obtained for the raw total energy is -3.60 eV per atom. For the calculated volume, the calculation gives 18.75 Å³/atom.

=====

6.
VASP calculation (GGA-PBE) on a relaxed structure of BaMg4Pb.

Cell: 8.926 8.926 8.926 Å, 90.00 90.00 90.00°
Space group F-43m (No. 216)
Symmetry-distinct sites (fractional):
Ba (0.000, 0.000, 0.000) [4 per cell]
Mg (0.124, 0.124, 0.624) [16 per cell]
Pb (0.250, 0.250, 0.250) [4 per cell]

Summary:
As for the magnetization: 0.00 μB/f.u. The calculation puts the energy relative to the elements at -48 meV per atom. The value obtained for the raw total energy is -2.05 eV per atom. For the calculated volume, the calculation gives 29.63 Å³/atom.

=====

7.
VASP calculation (GGA-PBE) on a relaxed structure of Tb2ScTlO6.

Cell: 5.7277 5.7277 15.0440 Å, 90.00 90.00 120.00°
Space group R3 (No. 146, hexagonal axes)
Symmetry-distinct sites (fractional):
Tb (0.0000, 0.0000, 0.0000) [3 per cell]
Tb (0.0000, 0.0000, 0.4947) [3 per cell]
Sc (0.0000, 0.0000, 0.7114) [3 per cell]
Tl (0.0000, 0.0000, 0.2180) [3 per cell]
O (0.0406, 0.6939, 0.7710) [9 per cell]
O (0.0539, 0.3819, 0.2766) [9 per cell]

Summary:
As for the magnetization: 0.00 μB/f.u. Its formation energy from raw total energies is -27.887 eV/f.u. The value obtained for the raw total energy is -7.56 eV per atom. For the calculated volume, the calculation gives 14.25 Å³/atom.

=====

8.
VASP calculation (GGA-PBE) on a relaxed structure of EuAlAgHg.

Cell: 7.134 7.134 7.134 Å, 90.00 90.00 90.00°
Space group F-43m (No. 216)
Symmetry-distinct sites (fractional):
Eu (0.000, 0.000, 0.000) [4 per cell]
Al (0.000, 0.000, 0.500) [4 per cell]
Ag (0.250, 0.250, 0.250) [4 per cell]
Hg (0.250, 0.250, 0.750) [4 per cell]

Summary:
As for the magnetization: 7.03 μB/f.u. The calculation puts the energy relative to the elements at -243 meV per atom. The value obtained for the raw total energy is -4.54 eV per atom. For the calculated volume, the calculation gives 22.69 Å³/atom.

=====

9.
VASP calculation (GGA-PBE) on a relaxed structure of Ta2FeAs.

Cell: 6.315 6.315 6.315 Å, 90.00 90.00 90.00°
Space group F-43m (No. 216)
Symmetry-distinct sites (fractional):
Ta (0.000, 0.000, 0.000) [4 per cell]
Ta (0.250, 0.250, 0.250) [4 per cell]
Fe (0.250, 0.250, 0.750) [4 per cell]
As (0.000, 0.000, 0.500) [4 per cell]

Summary:
As for the magnetization: 1.54 μB/f.u. The calculation puts the energy relative to the elements at 311 meV per atom. The value obtained for the raw total energy is -8.89 eV per atom. For the calculated volume, the calculation gives 15.74 Å³/atom.

=====

10.
VASP calculation (GGA-PBE) on a relaxed structure of BaMgZnPb.

Cell: 7.821 7.821 7.821 Å, 90.00 90.00 90.00°
Space group F-43m (No. 216)
Symmetry-distinct sites (fractional):
Ba (0.000, 0.000, 0.000) [4 per cell]
Mg (0.000, 0.000, 0.500) [4 per cell]
Zn (0.250, 0.250, 0.250) [4 per cell]
Pb (0.250, 0.250, 0.750) [4 per cell]

Summary:
As for the magnetization: 0.00 μB/f.u. The calculation puts the energy relative to the elements at -210 meV per atom. The value obtained for the raw total energy is -2.33 eV per atom. For the calculated volume, the calculation gives 29.90 Å³/atom.

=====

11.
VASP calculation (GGA-PBE) on a relaxed structure of RuBr3O.

Cell: 4.980 4.980 4.980 Å, 90.00 90.00 90.00°
Space group Pm-3m (No. 221)
Symmetry-distinct sites (fractional):
Ru (0.000, 0.000, 0.000) [1 per cell]
Br (0.000, 0.000, 0.500) [3 per cell]
O (0.500, 0.500, 0.500) [1 per cell]

Summary:
As for the magnetization: 1.39 μB/f.u. For the offset from the most stable computed form, the calculation gives 25.09 kcal/mol of atoms. Its formation energy from raw total energies is 4.184 eV/f.u. The value obtained for the raw total energy is -3.01 eV per atom. For the calculated volume, the calculation gives 24.70 Å³/atom.

=====

12.
VASP calculation (GGA-PBE) on a relaxed structure of MgNi2H2.

Cell: 4.882 8.080 8.856 Å, 90.00 90.00 90.00°
Space group Fddd (No. 70, origin choice 2)
Symmetry-distinct sites (fractional):
Mg (0.125, 0.125, 0.125) [8 per cell]
Ni (0.125, 0.285, 0.625) [16 per cell]
H (0.125, 0.125, 0.485) [16 per cell]

Summary:
As for the magnetization: 0.00 μB/f.u. For the offset from the most stable computed form, the calculation gives 0.00 kcal/mol of atoms. The value obtained for the raw total energy is -4.17 eV per atom. For the calculated volume, the calculation gives 8.73 Å³/atom.

=====

13.
VASP calculation (GGA-PBE) on a relaxed structure of Cd2Ag2Pd.

Cell: 4.394 4.810 5.399 Å, 71.95 66.21 62.95°
Space group P-1 (No. 2)
Symmetry-distinct sites (fractional):
Cd (0.100, 0.108, 0.191) [2 per cell]
Ag (0.301, 0.302, 0.595) [2 per cell]
Pd (0.500, 0.500, 0.000) [1 per cell]

Summary:
As for the magnetization: 0.00 μB/f.u. The calculation puts the energy relative to the elements at -155 meV per atom. For the offset from the most stable computed form, the calculation gives 0.00 kcal/mol of atoms. The value obtained for the raw total energy is -2.70 eV per atom. For the calculated volume, the calculation gives 18.37 Å³/atom.

=====

14.
VASP calculation (GGA-PBE) on a relaxed structure of Mn2AlAu.

Cell: 2.8353 2.8353 25.3866 Å, 90.00 90.00 120.00°
Space group R3m (No. 160, hexagonal axes)
Symmetry-distinct sites (fractional):
Mn (0.0000, 0.0000, 0.0000) [3 per cell]
Mn (0.0000, 0.0000, 0.2594) [3 per cell]
Al (0.0000, 0.0000, 0.5137) [3 per cell]
Au (0.0000, 0.0000, 0.7575) [3 per cell]

Summary:
As for the magnetization: 1.14 μB/f.u. The calculation puts the energy relative to the elements at 56 meV per atom. For the offset from the most stable computed form, the calculation gives 4.19 kcal/mol of atoms. The value obtained for the raw total energy is -6.28 eV per atom. For the calculated volume, the calculation gives 14.73 Å³/atom.

=====

15.
VASP calculation (GGA-PBE) on a relaxed structure of In3Hg12Ge5.

Cell: 16.555 16.555 16.555 Å, 90.00 90.00 90.00°
Space group Ia-3d (No. 230)
Symmetry-distinct sites (fractional):
In (0.000, 0.250, 0.125) [24 per cell]
Hg (0.028, 0.076, 0.648) [96 per cell]
Ge (0.000, 0.000, 0.000) [16 per cell]
Ge (0.000, 0.250, 0.375) [24 per cell]

Summary:
As for the magnetization: 0.00 μB/f.u. The calculation puts the energy relative to the elements at 227 meV per atom. The value obtained for the raw total energy is -1.52 eV per atom. For the calculated volume, the calculation gives 28.36 Å³/atom.

=====

16.
VASP calculation (GGA-PBE) on a relaxed structure of LiPmGd.

Cell: 3.5373 3.5373 8.4060 Å, 90.00 90.00 120.00°
Space group P3m1 (No. 156)
Symmetry-distinct sites (fractional):
Li (0.0000, 0.0000, 0.0000) [1 per cell]
Pm (0.3333, 0.6667, 0.6685) [1 per cell]
Gd (0.6667, 0.3333, 0.3270) [1 per cell]

Summary:
As for the magnetization: 7.55 μB/f.u. The calculation puts the energy relative to the elements at 103 meV per atom. For the offset from the most stable computed form, the calculation gives 0.71 kcal/mol of atoms. The value obtained for the raw total energy is -6.81 eV per atom. For the calculated volume, the calculation gives 30.36 Å³/atom.

=====

17.
VASP calculation (GGA-PBE) on a relaxed structure of KCeTeCl2.

Cell: 4.577 17.201 8.878 Å, 90.00 90.00 90.00°
Space group Cmcm (No. 63)
Symmetry-distinct sites (fractional):
K (0.000, 0.215, 0.250) [4 per cell]
Ce (0.000, 0.500, 0.000) [4 per cell]
Te (0.000, 0.008, 0.750) [4 per cell]
Cl (0.000, 0.342, 0.520) [8 per cell]

Summary:
As for the magnetization: 0.97 μB/f.u. Its formation energy from raw total energies is -9.091 eV/f.u. The value obtained for the raw total energy is -4.59 eV per atom. For the calculated volume, the calculation gives 34.95 Å³/atom.

=====

18.
VASP calculation (GGA-PBE) on a relaxed structure of Sr2PrS4.

Cell: 4.155 14.389 12.968 Å, 90.00 90.00 90.00°
Space group Cmcm (No. 63)
Symmetry-distinct sites (fractional):
Sr (0.000, 0.129, 0.068) [8 per cell]
Pr (0.000, 0.393, 0.250) [4 per cell]
S (0.000, 0.020, 0.250) [4 per cell]
S (0.000, 0.224, 0.640) [8 per cell]
S (0.000, 0.500, 0.000) [4 per cell]

Summary:
As for the magnetization: 0.84 μB/f.u. Its formation energy from raw total energies is -12.384 eV/f.u. The value obtained for the raw total energy is -5.29 eV per atom. For the calculated volume, the calculation gives 27.69 Å³/atom.

=====

19.
VASP calculation (GGA-PBE) on a relaxed structure of CsTlCoHg2.

Cell: 5.329 5.329 5.135 Å, 90.00 90.00 90.00°
Space group P4/mmm (No. 123)
Symmetry-distinct sites (fractional):
Cs (0.000, 0.000, 0.000) [1 per cell]
Tl (0.500, 0.500, 0.000) [1 per cell]
Co (0.500, 0.500, 0.500) [1 per cell]
Hg (0.000, 0.500, 0.500) [2 per cell]

Summary:
As for the magnetization: 0.00 μB/f.u. The calculation puts the energy relative to the elements at 42 meV per atom. The value obtained for the raw total energy is -2.14 eV per atom. For the calculated volume, the calculation gives 29.16 Å³/atom.

=====

20.
VASP calculation (GGA-PBE) on a relaxed structure of Mn2SiPb.

Cell: 3.070 3.467 13.389 Å, 90.00 90.00 90.00°
Space group Imm2 (No. 44)
Symmetry-distinct sites (fractional):
Mn (0.000, 0.000, 0.000) [2 per cell]
Mn (0.000, 0.500, 0.326) [2 per cell]
Si (0.000, 0.000, 0.451) [2 per cell]
Pb (0.000, 0.500, 0.686) [2 per cell]

Summary:
As for the magnetization: 5.57 μB/f.u. For the offset from the most stable computed form, the calculation gives 0.00 kcal/mol of atoms. Its formation energy from raw total energies is 0.836 eV/f.u. The value obtained for the raw total energy is -6.66 eV per atom. For the calculated volume, the calculation gives 17.82 Å³/atom.